Crystalline YHoRu2 at its relaxed geometry, computed with PBE.

Geometry as extended XYZ:
```
4
Lattice="-2.4748 2.2423 -0.6265 -2.3194 -2.2951 0.9476 0.4044 2.2365 6.4066" Properties=species:S:1:pos:R:3 pbc="T T T"
Ru 0.1028 0.5686 1.6287
Ru 0.3016 1.6679 4.7779
Y -2.3971 -0.0264 0.1605
Ho -2.1949 1.0918 3.3639
```

Calculated values
* energy: -7.72 eV/atom
* formation energy from the elements: -0.32 eV per atom
* total moment: 0.00 μB per atom
* space-group type: P4/mmm (123)